# 1
A relaxed structure of Sc2Fe3Mo, computed with PBE.

Computed properties:
**DOS at the Fermi energy**: 11.1 states/eV per cell
**SG**: P6_3/mmc
**Energy**: -8.330 eV per atom
**Formation energy**: -0.183 eV/atom
**M_tot**: 2.9 μB per formula unit
**Calculated volume**: 179 Å³ per cell

CIF file:
```
data_Sc2Fe3Mo
_chemical_formula_sum 'Sc4 Fe6 Mo2'
_symmetry_space_group_name_H-M 'P 1'
_symmetry_Int_Tables_number 1
_symmetry_space_group_name_Hall 'P 1'
_cell_length_a 5.0804
_cell_length_b 5.0804
_cell_length_c 8.0026
_cell_angle_alpha 90.00
_cell_angle_beta 90.00
_cell_angle_gamma 120.00
loop_
_atom_site_label
_atom_site_fract_x
_atom_site_fract_y
_atom_site_fract_z
Sc1 0.3333 0.6667 0.0639
Sc2 0.3333 0.6667 0.4361
Sc3 0.6667 0.3333 0.5639
Sc4 0.6667 0.3333 0.9361
Fe1 0.1747 0.3494 0.7500
Fe2 0.1747 0.8253 0.7500
Fe3 0.3494 0.1747 0.2500
Fe4 0.6506 0.8253 0.7500
Fe5 0.8253 0.1747 0.2500
Fe6 0.8253 0.6506 0.2500
Mo1 0.0000 0.0000 0.0000
Mo2 0.0000 0.0000 0.5000
```



# 2
A relaxed structure of ScFe9Mo2, computed with PBE.

Computed properties:
**DOS at the Fermi energy**: 15.8 states/eV per cell
**SG**: R-3m
**Energy**: -8.692 eV per atom
**Formation energy**: -0.013 eV/atom
**M_tot**: 13.2 μB per formula unit
**Calculated volume**: 153 Å³ per cell

CIF file:
```
data_ScFe9Mo2
_chemical_formula_sum 'Sc1 Fe9 Mo2'
_symmetry_space_group_name_H-M 'P 1'
_symmetry_Int_Tables_number 1
_symmetry_space_group_name_Hall 'P 1'
_cell_length_a 8.2631
_cell_length_b 8.2631
_cell_length_c 8.2631
_cell_angle_alpha 33.44
_cell_angle_beta 33.44
_cell_angle_gamma 33.44
loop_
_atom_site_label
_atom_site_fract_x
_atom_site_fract_y
_atom_site_fract_z
Sc1 0.0000 0.0000 0.0000
Fe1 0.0816 0.5891 0.5891
Fe2 0.3336 0.3336 0.3336
Fe3 0.4109 0.4109 0.9184
Fe4 0.4109 0.9184 0.4109
Fe5 0.5000 0.5000 0.5000
Fe6 0.5891 0.0816 0.5891
Fe7 0.5891 0.5891 0.0816
Fe8 0.6664 0.6664 0.6664
Fe9 0.9184 0.4109 0.4109
Mo1 0.1430 0.1430 0.1430
Mo2 0.8570 0.8570 0.8570
```



# 3
A relaxed structure of ScFe2Mo2, computed with PBE.

Computed properties:
**DOS at the Fermi energy**: 9.1 states/eV per cell
**SG**: P4/mbm
**Energy**: -8.781 eV per atom
**Formation energy**: 0.203 eV/atom
**M_tot**: 0.0 μB per formula unit
**Calculated volume**: 148 Å³ per cell

CIF file:
```
data_ScFe2Mo2
_chemical_formula_sum 'Sc2 Fe4 Mo4'
_symmetry_space_group_name_H-M 'P 1'
_symmetry_Int_Tables_number 1
_symmetry_space_group_name_Hall 'P 1'
_cell_length_a 7.3582
_cell_length_b 7.3582
_cell_length_c 2.7319
_cell_angle_alpha 90.00
_cell_angle_beta 90.00
_cell_angle_gamma 90.00
loop_
_atom_site_label
_atom_site_fract_x
_atom_site_fract_y
_atom_site_fract_z
Sc1 0.0000 0.0000 0.0000
Sc2 0.5000 0.5000 0.0000
Fe1 0.1423 0.3577 0.5000
Fe2 0.3577 0.8577 0.5000
Fe3 0.6423 0.1423 0.5000
Fe4 0.8577 0.6423 0.5000
Mo1 0.1493 0.6493 0.0000
Mo2 0.3507 0.1493 0.0000
Mo3 0.6493 0.8507 0.0000
Mo4 0.8507 0.3507 0.0000
```



# 4
A relaxed structure of ScFeMo4, computed with PBE.

Computed properties:
**DOS at the Fermi energy**: 4.9 states/eV per cell
**SG**: F-43m
**Energy**: -9.398 eV per atom
**Formation energy**: 0.289 eV/atom
**M_tot**: 2.7 μB per formula unit
**Calculated volume**: 103 Å³ per cell

CIF file:
```
data_ScFeMo4
_chemical_formula_sum 'Sc1 Fe1 Mo4'
_symmetry_space_group_name_H-M 'P 1'
_symmetry_Int_Tables_number 1
_symmetry_space_group_name_Hall 'P 1'
_cell_length_a 5.2665
_cell_length_b 5.2665
_cell_length_c 5.2665
_cell_angle_alpha 60.00
_cell_angle_beta 60.00
_cell_angle_gamma 60.00
loop_
_atom_site_label
_atom_site_fract_x
_atom_site_fract_y
_atom_site_fract_z
Sc1 0.0000 0.0000 0.0000
Fe1 0.7500 0.7500 0.7500
Mo1 0.3752 0.3752 0.3752
Mo2 0.3752 0.3752 0.8744
Mo3 0.3752 0.8744 0.3752
Mo4 0.8744 0.3752 0.3752
```



# 5
A relaxed structure of ScFe3Mo, computed with PBE.

Computed properties:
**DOS at the Fermi energy**: 10.2 states/eV per cell
**SG**: Pm-3m
**Energy**: -7.539 eV per atom
**Formation energy**: 0.971 eV/atom
**M_tot**: 3.2 μB per formula unit
**Calculated volume**: 88 Å³ per cell

CIF file:
```
data_ScFe3Mo
_chemical_formula_sum 'Sc1 Fe3 Mo1'
_symmetry_space_group_name_H-M 'P 1'
_symmetry_Int_Tables_number 1
_symmetry_space_group_name_Hall 'P 1'
_cell_length_a 4.4458
_cell_length_b 4.4458
_cell_length_c 4.4458
_cell_angle_alpha 90.00
_cell_angle_beta 90.00
_cell_angle_gamma 90.00
loop_
_atom_site_label
_atom_site_fract_x
_atom_site_fract_y
_atom_site_fract_z
Sc1 0.0000 0.0000 0.0000
Fe1 0.0000 0.5000 0.5000
Fe2 0.5000 0.0000 0.5000
Fe3 0.5000 0.5000 0.0000
Mo1 0.5000 0.5000 0.5000
```



# 6
A relaxed structure of Sc3FeMo, computed with PBE.

Computed properties:
**DOS at the Fermi energy**: 9.1 states/eV per cell
**SG**: Pm-3m
**Energy**: -6.598 eV per atom
**Formation energy**: 1.059 eV/atom
**M_tot**: 0.1 μB per formula unit
**Calculated volume**: 117 Å³ per cell

CIF file:
```
data_Sc3FeMo
_chemical_formula_sum 'Sc3 Fe1 Mo1'
_symmetry_space_group_name_H-M 'P 1'
_symmetry_Int_Tables_number 1
_symmetry_space_group_name_Hall 'P 1'
_cell_length_a 4.8884
_cell_length_b 4.8884
_cell_length_c 4.8884
_cell_angle_alpha 90.00
_cell_angle_beta 90.00
_cell_angle_gamma 90.00
loop_
_atom_site_label
_atom_site_fract_x
_atom_site_fract_y
_atom_site_fract_z
Sc1 0.0000 0.0000 0.5000
Sc2 0.0000 0.5000 0.0000
Sc3 0.5000 0.0000 0.0000
Fe1 0.5000 0.5000 0.5000
Mo1 0.0000 0.0000 0.0000
```



# 7
A relaxed structure of ScFe4Mo, computed with PBE.

Computed properties:
**DOS at the Fermi energy**: 7.4 states/eV per cell
**SG**: F-43m
**Energy**: -8.566 eV per atom
**Formation energy**: -0.064 eV/atom
**M_tot**: 5.8 μB per formula unit
**Calculated volume**: 79 Å³ per cell

CIF file:
```
data_ScFe4Mo
_chemical_formula_sum 'Sc1 Fe4 Mo1'
_symmetry_space_group_name_H-M 'P 1'
_symmetry_Int_Tables_number 1
_symmetry_space_group_name_Hall 'P 1'
_cell_length_a 4.8218
_cell_length_b 4.8218
_cell_length_c 4.8218
_cell_angle_alpha 60.00
_cell_angle_beta 60.00
_cell_angle_gamma 60.00
loop_
_atom_site_label
_atom_site_fract_x
_atom_site_fract_y
_atom_site_fract_z
Sc1 0.0000 0.0000 0.0000
Fe1 0.1261 0.6246 0.6246
Fe2 0.6246 0.1261 0.6246
Fe3 0.6246 0.6246 0.1261
Fe4 0.6246 0.6246 0.6246
Mo1 0.2500 0.2500 0.2500
```



# 8
A relaxed structure of Sc2FeTcMo, computed with PBE.

Computed properties:
**DOS at the Fermi energy**: 5.8 states/eV per cell
**SG**: P4/mmm
**Energy**: -7.738 eV per atom
**Formation energy**: 0.726 eV/atom
**M_tot**: 1.2 μB per formula unit
**Calculated volume**: 96 Å³ per cell

CIF file:
```
data_Sc2FeTcMo
_chemical_formula_sum 'Sc2 Fe1 Tc1 Mo1'
_symmetry_space_group_name_H-M 'P 1'
_symmetry_Int_Tables_number 1
_symmetry_space_group_name_Hall 'P 1'
_cell_length_a 4.6393
_cell_length_b 4.6393
_cell_length_c 4.4457
_cell_angle_alpha 90.00
_cell_angle_beta 90.00
_cell_angle_gamma 90.00
loop_
_atom_site_label
_atom_site_fract_x
_atom_site_fract_y
_atom_site_fract_z
Sc1 0.0000 0.5000 0.0000
Sc2 0.5000 0.0000 0.0000
Fe1 0.0000 0.0000 0.0000
Tc1 0.5000 0.5000 0.5000
Mo1 0.0000 0.0000 0.5000
```



# 9
A relaxed structure of ScFeTcMo, computed with PBE.

Computed properties:
**DOS at the Fermi energy**: 1.4 states/eV per cell
**SG**: F-43m
**Energy**: -9.094 eV per atom
**Formation energy**: -0.096 eV/atom
**M_tot**: 0.0 μB per formula unit
**Calculated volume**: 60 Å³ per cell

CIF file:
```
data_ScFeTcMo
_chemical_formula_sum 'Sc1 Fe1 Tc1 Mo1'
_symmetry_space_group_name_H-M 'P 1'
_symmetry_Int_Tables_number 1
_symmetry_space_group_name_Hall 'P 1'
_cell_length_a 4.3842
_cell_length_b 4.3842
_cell_length_c 4.3842
_cell_angle_alpha 60.00
_cell_angle_beta 60.00
_cell_angle_gamma 60.00
loop_
_atom_site_label
_atom_site_fract_x
_atom_site_fract_y
_atom_site_fract_z
Sc1 0.0000 0.0000 0.0000
Fe1 0.7500 0.7500 0.7500
Tc1 0.2500 0.2500 0.2500
Mo1 0.5000 0.5000 0.5000
```



# 10
A relaxed structure of Y2ScFeMo, computed with PBE.

Computed properties:
**DOS at the Fermi energy**: 8.2 states/eV per cell
**SG**: P4/mmm
**Energy**: -6.615 eV per atom
**Formation energy**: 1.096 eV/atom
**M_tot**: 0.1 μB per formula unit
**Calculated volume**: 135 Å³ per cell

CIF file:
```
data_Y2ScFeMo
_chemical_formula_sum 'Y2 Sc1 Fe1 Mo1'
_symmetry_space_group_name_H-M 'P 1'
_symmetry_Int_Tables_number 1
_symmetry_space_group_name_Hall 'P 1'
_cell_length_a 5.2670
_cell_length_b 5.2670
_cell_length_c 4.8823
_cell_angle_alpha 90.00
_cell_angle_beta 90.00
_cell_angle_gamma 90.00
loop_
_atom_site_label
_atom_site_fract_x
_atom_site_fract_y
_atom_site_fract_z
Y1 0.0000 0.5000 0.0000
Y2 0.5000 0.0000 0.0000
Sc1 0.0000 0.0000 0.5000
Fe1 0.5000 0.5000 0.5000
Mo1 0.0000 0.0000 0.0000
```



# 11
A relaxed structure of Fe2MoSe, computed with PBE.

Computed properties:
**DOS at the Fermi energy**: 3.3 states/eV per cell
**SG**: Pm
**Energy**: -7.616 eV per atom
**M_tot**: 4.4 μB per formula unit
**Calculated volume**: 58 Å³ per cell

CIF file:
```
data_Fe2MoSe
_chemical_formula_sum 'Fe2 Mo1 Se1'
_symmetry_space_group_name_H-M 'P 1'
_symmetry_Int_Tables_number 1
_symmetry_space_group_name_Hall 'P 1'
_cell_length_a 3.1067
_cell_length_b 3.1603
_cell_length_c 6.0720
_cell_angle_alpha 90.00
_cell_angle_beta 104.40
_cell_angle_gamma 90.00
loop_
_atom_site_label
_atom_site_fract_x
_atom_site_fract_y
_atom_site_fract_z
Fe1 0.0000 0.0000 0.0000
Fe2 0.3822 0.5000 0.7568
Mo1 0.6126 0.5000 0.2326
Se1 0.7901 0.0000 0.5690
```



# 12
A relaxed structure of Fe2MoSe, computed with PBE.

Computed properties:
**DOS at the Fermi energy**: 4.1 states/eV per cell
**SG**: Immm
**Energy**: -7.545 eV per atom
**M_tot**: 2.9 μB per formula unit
**Calculated volume**: 54 Å³ per cell

CIF file:
```
data_Fe2MoSe
_chemical_formula_sum 'Fe2 Mo1 Se1'
_symmetry_space_group_name_H-M 'P 1'
_symmetry_Int_Tables_number 1
_symmetry_space_group_name_Hall 'P 1'
_cell_length_a 4.9757
_cell_length_b 4.9757
_cell_length_c 4.9757
_cell_angle_alpha 145.27
_cell_angle_beta 129.47
_cell_angle_gamma 62.78
loop_
_atom_site_label
_atom_site_fract_x
_atom_site_fract_y
_atom_site_fract_z
Fe1 0.2320 0.2320 0.0000
Fe2 0.7680 0.7680 0.0000
Mo1 0.5000 0.0000 0.5000
Se1 0.0000 0.5000 0.5000
```